[1]
A plane-wave DFT calculation with PBE was carried out for Pr5S4N after structural relaxation.

Geometry as CIF:
```
data_Pr5S4N
_cell_length_a 4.037
_cell_length_b 4.037
_cell_length_c 28.642
_cell_angle_alpha 90.00
_cell_angle_beta 90.00
_cell_angle_gamma 90.00
_space_group_name_H-M_alt 'I 4/m m m'
_space_group_IT_number 139
_space_group_name_Hall '-I 4 2'
loop_
_atom_site_label
_atom_site_type_symbol
_atom_site_fract_x
_atom_site_fract_y
_atom_site_fract_z
Pr1 Pr 0.000 0.000 0.000
Pr2 Pr 0.000 0.000 0.202
Pr3 Pr 0.000 0.000 0.414
S1 S 0.000 0.000 0.100
S2 S 0.000 0.000 0.305
N1 N 0.000 0.000 0.500
```

Computed properties:
ΔE_f (raw) = -42.4 kcal/mol of atoms
Theoretical density = 6.0 Mg/m³
D(E_F) = 3.74 states/eV/f.u.

[2]
A plane-wave DFT calculation with PBE was carried out for Li2CaAl after structural relaxation.

Geometry as CIF:
```
data_Li2CaAl
_cell_length_a 3.363
_cell_length_b 4.947
_cell_length_c 5.639
_cell_angle_alpha 90.00
_cell_angle_beta 95.58
_cell_angle_gamma 90.00
_space_group_name_H-M_alt 'P 1 2/m 1'
_space_group_IT_number 10
_space_group_name_Hall '-P 2y'
loop_
_atom_site_label
_atom_site_type_symbol
_atom_site_fract_x
_atom_site_fract_y
_atom_site_fract_z
Li1 Li 0.216 0.000 0.304
Ca1 Ca 0.500 0.500 0.000
Al1 Al 0.000 0.500 0.500
```

Computed properties:
Theoretical density = 1.4 Mg/m³
Energy of formation from the pure elements = -0.015 eV per atom
D(E_F) = 1.94 states/eV/f.u.

[3]
A plane-wave DFT calculation with PBE was carried out for Mn3HgB after structural relaxation.

Geometry as CIF:
```
data_Mn3HgB
_cell_length_a 5.011
_cell_length_b 5.011
_cell_length_c 5.011
_cell_angle_alpha 90.00
_cell_angle_beta 90.00
_cell_angle_gamma 90.00
_space_group_name_H-M_alt 'P m -3 m'
_space_group_IT_number 221
_space_group_name_Hall '-P 4 2 3'
loop_
_atom_site_label
_atom_site_type_symbol
_atom_site_fract_x
_atom_site_fract_y
_atom_site_fract_z
Mn1 Mn 0.000 0.000 0.500
Hg1 Hg 0.000 0.000 0.000
B1 B 0.500 0.500 0.500
```

Computed properties:
Offset from the most stable computed form = 1882 meV per atom
Theoretical density = 5.0 Mg/m³
Energy of formation from the pure elements = 1.996 eV per atom
D(E_F) = 5.46 states/eV/f.u.

[4]
A plane-wave DFT calculation with PBE was carried out for ScAs4Se after structural relaxation.

Geometry as CIF:
```
data_ScAs4Se
_cell_length_a 7.863
_cell_length_b 7.863
_cell_length_c 7.863
_cell_angle_alpha 90.00
_cell_angle_beta 90.00
_cell_angle_gamma 90.00
_space_group_name_H-M_alt 'F -4 3 m'
_space_group_IT_number 216
_space_group_name_Hall 'F -4 2 3'
loop_
_atom_site_label
_atom_site_type_symbol
_atom_site_fract_x
_atom_site_fract_y
_atom_site_fract_z
Sc1 Sc 0.000 0.000 0.000
As1 As 0.122 0.122 0.378
Se1 Se 0.250 0.250 0.750
```

Computed properties:
ΔE_f (raw) = 0.4 kcal/mol of atoms
Theoretical density = 5.8 Mg/m³
D(E_F) = 3.02 states/eV/f.u.

[5]
A plane-wave DFT calculation with PBE was carried out for TmCu2Pd4 after structural relaxation.

Geometry as CIF:
```
data_TmCu2Pd4
_cell_length_a 8.548
_cell_length_b 5.499
_cell_length_c 6.715
_cell_angle_alpha 90.00
_cell_angle_beta 129.12
_cell_angle_gamma 90.00
_space_group_name_H-M_alt 'C 1 2/m 1'
_space_group_IT_number 12
_space_group_name_Hall '-C 2y'
loop_
_atom_site_label
_atom_site_type_symbol
_atom_site_fract_x
_atom_site_fract_y
_atom_site_fract_z
Tm1 Tm 0.000 0.000 0.000
Cu1 Cu 0.131 0.500 0.262
Pd1 Pd 0.000 0.250 0.500
Pd2 Pd 0.250 0.250 0.000
```

Computed properties:
Offset from the most stable computed form = 276 meV per atom
Theoretical density = 9.8 Mg/m³
Energy of formation from the pure elements = -0.113 eV per atom
D(E_F) = 3.13 states/eV/f.u.

[6]
A plane-wave DFT calculation with PBE was carried out for UCo4Os after structural relaxation.

Geometry as CIF:
```
data_UCo4Os
_cell_length_a 6.840
_cell_length_b 6.840
_cell_length_c 6.840
_cell_angle_alpha 90.00
_cell_angle_beta 90.00
_cell_angle_gamma 90.00
_space_group_name_H-M_alt 'F -4 3 m'
_space_group_IT_number 216
_space_group_name_Hall 'F -4 2 3'
loop_
_atom_site_label
_atom_site_type_symbol
_atom_site_fract_x
_atom_site_fract_y
_atom_site_fract_z
U1 U 0.000 0.000 0.000
Co1 Co 0.124 0.124 0.624
Os1 Os 0.250 0.250 0.250
```

Computed properties:
Theoretical density = 13.8 Mg/m³
Energy of formation from the pure elements = 0.002 eV per atom
D(E_F) = 10.61 states/eV/f.u.

[7]
A plane-wave DFT calculation with PBE was carried out for TaAlNi3 after structural relaxation.

Geometry as CIF:
```
data_TaAlNi3
_cell_length_a 4.534
_cell_length_b 4.534
_cell_length_c 4.534
_cell_angle_alpha 90.00
_cell_angle_beta 90.00
_cell_angle_gamma 90.00
_space_group_name_H-M_alt 'P m -3 m'
_space_group_IT_number 221
_space_group_name_Hall '-P 4 2 3'
loop_
_atom_site_label
_atom_site_type_symbol
_atom_site_fract_x
_atom_site_fract_y
_atom_site_fract_z
Ta1 Ta 0.000 0.000 0.000
Al1 Al 0.500 0.500 0.500
Ni1 Ni 0.000 0.000 0.500
```

Computed properties:
Offset from the most stable computed form = 564 meV per atom
Theoretical density = 6.8 Mg/m³
Energy of formation from the pure elements = 1.203 eV per atom
D(E_F) = 5.42 states/eV/f.u.

[8]
A plane-wave DFT calculation with PBE was carried out for Al2HgPd2 after structural relaxation.

Geometry as CIF:
```
data_Al2HgPd2
_cell_length_a 3.829
_cell_length_b 3.829
_cell_length_c 12.103
_cell_angle_alpha 90.00
_cell_angle_beta 90.00
_cell_angle_gamma 90.00
_space_group_name_H-M_alt 'I 4/m m m'
_space_group_IT_number 139
_space_group_name_Hall '-I 4 2'
loop_
_atom_site_label
_atom_site_type_symbol
_atom_site_fract_x
_atom_site_fract_y
_atom_site_fract_z
Al1 Al 0.000 0.500 0.250
Hg1 Hg 0.000 0.000 0.000
Pd1 Pd 0.000 0.000 0.385
```

Computed properties:
Offset from the most stable computed form = 128 meV per atom
Theoretical density = 8.7 Mg/m³
Energy of formation from the pure elements = -0.443 eV per atom
D(E_F) = 2.45 states/eV/f.u.